Record 1
Entry from the Alexandria database: crystalline Dy2ScPd3 at its relaxed geometry (PBE).

abc: 3.3688 4.8888 14.8817
angles: 90.00 90.00 90.00
Last column: nearest neighbours and their distance in Å.
Fractional coordinates of all 12 atoms:
Dy1 0.0013 0.5000 0.1656  8 Pd 2.98-3.20
Dy2 0.9987 0.0000 0.6656  8 Pd 2.98-3.20
Dy3 0.0013 0.5000 0.8344  8 Pd 2.98-3.20
Dy4 0.9987 0.0000 0.3344  8 Pd 2.98-3.20
Pd1 0.5012 0.5000 0.0000  4 Sc 2.97, 4 Dy 2.99
Pd2 0.5013 0.0000 0.1522  2 Sc 2.82, 4 Dy 2.98
Pd3 0.4987 0.5000 0.6522  2 Sc 2.82, 4 Dy 2.98
Pd4 0.4988 0.0000 0.5000  4 Sc 2.97, 4 Dy 2.99
Pd5 0.5013 0.0000 0.8478  2 Sc 2.82, 4 Dy 2.98
Pd6 0.4987 0.5000 0.3478  2 Sc 2.82, 4 Dy 2.98
Sc1 0.9987 0.5000 0.5000  8 Pd 2.82-2.97
Sc2 0.0013 0.0000 0.0000  8 Pd 2.82-2.97

Computed properties:
Formation energy (eV/atom): -0.883


Record 2
Entry from the Alexandria database: crystalline Ho5Mg2 at its relaxed geometry (PBE).

abc: 3.4781 3.4781 16.8986
angles: 95.91 95.91 90.00
Last column: nearest neighbours and their distance in Å.
Fractional coordinates of all 7 atoms:
Ho1 0.0000 0.0000 0.0000  12 Ho 3.48-3.53
Ho2 0.1507 0.1507 0.3014  4 Mg 3.40, 8 Ho 3.48-3.51
Ho3 0.5758 0.5758 0.1516  12 Ho 3.48-3.53
Ho4 0.8493 0.8493 0.6986  4 Mg 3.40, 8 Ho 3.48-3.51
Ho5 0.4242 0.4242 0.8484  12 Ho 3.48-3.53
Mg1 0.7207 0.7207 0.4415  8 Mg 3.14-3.48, 4 Ho 3.40
Mg2 0.2793 0.2793 0.5585  8 Mg 3.14-3.48, 4 Ho 3.40

Computed properties:
Formation energy (eV/atom): -0.017


Record 3
Entry from the Alexandria database: crystalline SrLiYGa at its relaxed geometry (PBE).

abc: 5.3533 5.3533 5.3533
angles: 60.00 60.00 60.00
Last column: nearest neighbours and their distance in Å.
Fractional coordinates of all 4 atoms:
Ga1 0.0000 0.0000 0.0000  4 Sr 3.28, 4 Y 3.28
Y1 0.7500 0.7500 0.7500  4 Li 3.28, 4 Ga 3.28
Sr1 0.2500 0.2500 0.2500  4 Li 3.28, 4 Ga 3.28
Li1 0.5000 0.5000 0.5000  4 Y 3.28, 4 Sr 3.28

Computed properties:
Formation energy (eV/atom): -0.188


Record 4
Entry from the Alexandria database: crystalline CePmEr5 at its relaxed geometry (PBE).

abc: 6.6250 8.3937 8.3937
angles: 92.46 101.77 101.77
Last column: nearest neighbours and their distance in Å.
Fractional coordinates of all 14 atoms:
Pm1 0.5000 0.0000 0.0000  6 Er 3.31-3.56, 2 Pm 3.31
Pm2 0.0000 0.0000 0.0000  6 Er 3.31-3.56, 2 Pm 3.31
Er1 0.7368 0.6145 0.0298  5 Er 3.26-3.54, 1 Ce 3.28, 1 Pm 3.39
Er2 0.7500 0.2842 0.7158  6 Er 3.54-3.77, 3 Ce 3.60-3.69, 2 Pm 3.82
Er3 0.9261 0.3128 0.2175  2 Ce 3.29-3.32, 2 Pm 3.31-3.56, 6 Er 3.33-3.57
Er4 0.2368 0.0298 0.6145  5 Er 3.26-3.54, 1 Ce 3.28, 1 Pm 3.39
Er5 0.0739 0.6872 0.7825  2 Ce 3.29-3.32, 2 Pm 3.31-3.56, 6 Er 3.33-3.57
Er6 0.4261 0.2175 0.3128  2 Ce 3.29-3.32, 2 Pm 3.31-3.56, 6 Er 3.33-3.57
Er7 0.2632 0.3855 0.9702  5 Er 3.26-3.54, 1 Ce 3.28, 1 Pm 3.39
Er8 0.5739 0.7825 0.6872  2 Ce 3.29-3.32, 2 Pm 3.31-3.56, 6 Er 3.33-3.57
Er9 0.2500 0.7158 0.2842  6 Er 3.54-3.77, 3 Ce 3.60-3.69, 2 Pm 3.82
Er10 0.7632 0.9702 0.3855  5 Er 3.26-3.54, 1 Ce 3.28, 1 Pm 3.39
Ce1 0.2500 0.4189 0.5811  7 Er 3.28-3.60
Ce2 0.7500 0.5811 0.4189  7 Er 3.28-3.60

Computed properties:
Formation energy (eV/atom): 0.202